A relaxed structure of Gd2MgIn. Source: the Alexandria database, functional PBE.

a b c (Å): 3.8262 3.8262 7.5181
angles (deg): 90.00 90.00 90.00
Closest atoms and distances in Å follow each position.
Fractional positions:
1 Mg 0.5000 0.5000 0.0000  8 Gd 3.30
2 Gd 0.0000 0.0000 0.2510  4 In 3.29, 4 Mg 3.30
3 Gd 0.0000 0.0000 0.7490  4 In 3.29, 4 Mg 3.30
4 In 0.5000 0.5000 0.5000  8 Gd 3.29

Summary:
As for the calculated formation energy: -7.5 kcal/mol of atoms. Its density of states at the Fermi level is 0.5633 states/eV/atom. The value obtained for the total energy is -33.8 eV per cell. The calculation puts the polymorph energy (0 for the lowest one) at 21 meV per atom.